# 1
Sr8Ga2O | PBE-GGA | relaxed

abc: 4.363 6.685 15.385
angles: 98.12 98.15 90.00
Atoms (fractional coordinates):
Sr1 0.566 0.261 0.131
Sr2 0.434 0.739 0.869
Sr3 0.338 0.183 0.677
Sr4 0.199 0.333 0.399
Sr5 0.801 0.667 0.601
Sr6 0.037 0.789 0.075
Sr7 0.963 0.211 0.925
Sr8 0.662 0.817 0.323
Ga1 0.757 0.117 0.515
Ga2 0.243 0.883 0.485
O1 0.500 0.000 0.000

As for the total energy: -0.10227 Ha/atom.

***

# 2
Sr2Ga2O5 | PBE-GGA | relaxed

abc: 4.048 5.810 5.999
angles: 106.04 90.00 110.38
Atoms (fractional coordinates):
O1 0.331 0.663 0.062
O2 0.669 0.337 0.938
O3 0.148 0.296 0.573
O4 0.852 0.704 0.427
O5 0.000 0.000 0.000
Ga1 0.150 0.299 0.881
Ga2 0.850 0.701 0.119
Sr1 0.392 0.783 0.678
Sr2 0.608 0.217 0.322

As for the total energy: -0.22240 Ha/atom.

***

# 3
Sr5GaO6 | PBE-GGA | relaxed

abc: 6.273 6.287 6.291
angles: 60.02 80.46 70.64
Last column: magnetic moment on the atom in μB.
Atoms (fractional coordinates):
O1 0.250 0.588 0.329  0.06
O2 0.250 0.917 0.671  0.06
O3 0.753 0.754 0.000  0.06
O4 0.247 0.246 0.000  0.06
O5 0.750 0.412 0.671  0.06
O6 0.750 0.083 0.329  0.06
Sr1 0.500 0.837 0.325  0.01
Sr2 0.000 0.333 0.335  0.00
Sr3 0.000 0.667 0.665  0.00
Sr4 0.500 0.163 0.675  0.01
Sr5 0.500 0.500 0.000  0.01
Ga1 0.000 0.000 0.000  0.20

As for the total energy: -0.21317 Ha/atom.